1.
# Ho2HfZn3CuAu2 (PBE, relaxed)
# Calculated formation energy (eV/atom): -0.49
# Spin magnetization (μB/cell): 0.04
data_Ho2HfZn3CuAu2
_chemical_formula_sum 'Ho4 Hf2 Zn6 Cu2 Au4'
_cell_length_a 3.830
_cell_length_b 12.424
_cell_length_c 7.240
_cell_angle_alpha 90.00
_cell_angle_beta 90.00
_cell_angle_gamma 90.00
_symmetry_space_group_name_H-M 'A m m 2'
_symmetry_Int_Tables_number 38
loop_
_symmetry_equiv_pos_as_xyz
'x,y,z'
'-x,-y,z'
'-x,y,z'
'x,-y,z'
'x,y+1/2,z+1/2'
'-x,-y+1/2,z+1/2'
'-x,y+1/2,z+1/2'
'x,-y+1/2,z+1/2'
loop_
_atom_site_label
_atom_site_type_symbol
_atom_site_fract_x
_atom_site_fract_y
_atom_site_fract_z
Ho1 Ho 0.000 0.201 0.000
Hf1 Hf 0.000 0.000 0.600
Zn1 Zn 0.500 0.000 0.966
Zn2 Zn 0.500 0.119 0.322
Cu1 Cu 0.000 0.000 0.213
Au1 Au 0.500 0.160 0.698


2.
# LaTlRe2 (PBE, relaxed)
# Total DFT energy (no corrections) (eV per atom): -7.123
# Spin magnetization (μB/cell): 0.02
data_LaTlRe2
_chemical_formula_sum 'La4 Tl4 Re8'
_cell_length_a 6.908
_cell_length_b 6.908
_cell_length_c 6.908
_cell_angle_alpha 90.00
_cell_angle_beta 90.00
_cell_angle_gamma 90.00
_symmetry_space_group_name_H-M 'F -4 3 m'
_symmetry_Int_Tables_number 216
_symmetry_space_group_name_Hall 'F -4 2 3'
loop_
_atom_site_label
_atom_site_type_symbol
_atom_site_fract_x
_atom_site_fract_y
_atom_site_fract_z
La1 La 0.000 0.000 0.000
Tl1 Tl 0.250 0.250 0.750
Re1 Re 0.000 0.000 0.500
Re2 Re 0.250 0.250 0.250


3.
# ZrCo4As3 (PBE, relaxed)
# Total DFT energy (no corrections) (eV per atom): -6.626
# Spin magnetization (μB/cell): 0.01
data_ZrCo4As3
_chemical_formula_sum 'Zr1 Co4 As3'
_cell_length_a 5.064
_cell_length_b 3.689
_cell_length_c 6.260
_cell_angle_alpha 90.00
_cell_angle_beta 90.03
_cell_angle_gamma 90.00
_symmetry_space_group_name_H-M 'P 1 m 1'
_symmetry_Int_Tables_number 6
loop_
_symmetry_equiv_pos_as_xyz
'x,y,z'
'x,-y,z'
loop_
_atom_site_label
_atom_site_type_symbol
_atom_site_fract_x
_atom_site_fract_y
_atom_site_fract_z
Zr1 Zr 0.000 0.000 0.000
Co1 Co 0.254 0.500 0.786
Co2 Co 0.262 0.000 0.349
Co3 Co 0.747 0.000 0.354
Co4 Co 0.752 0.500 0.781
As1 As 0.007 0.500 0.469
As2 As 0.500 0.000 0.680
As3 As 0.505 0.500 0.139


4.
# Zn2TeO (PBE, relaxed)
# Total DFT energy (no corrections) (eV per atom): -3.207
data_Zn2TeO
_chemical_formula_sum 'Zn4 Te2 O2'
_cell_length_a 3.6994
_cell_length_b 3.6994
_cell_length_c 12.3517
_cell_angle_alpha 90.00
_cell_angle_beta 90.00
_cell_angle_gamma 120.00
_symmetry_space_group_name_H-M 'P 63 m c'
_symmetry_Int_Tables_number 186
_symmetry_space_group_name_Hall 'P 6c -2c'
loop_
_atom_site_label
_atom_site_type_symbol
_atom_site_fract_x
_atom_site_fract_y
_atom_site_fract_z
Zn1 Zn 0.0000 0.0000 0.0000
Zn2 Zn 0.3333 0.6667 0.3011
Te1 Te 0.3333 0.6667 0.6229
O1 O 0.0000 0.0000 0.3436


5.
# Na2ZnTcH6 (PBE, relaxed)
# Total DFT energy (no corrections) (eV per atom): -3.417
# Spin magnetization (μB/cell): 4.03
data_Na2ZnTcH6
_chemical_formula_sum 'Na8 Zn4 Tc4 H24'
_cell_length_a 7.221
_cell_length_b 7.221
_cell_length_c 7.221
_cell_angle_alpha 90.00
_cell_angle_beta 90.00
_cell_angle_gamma 90.00
_symmetry_space_group_name_H-M 'F m -3 m'
_symmetry_Int_Tables_number 225
_symmetry_space_group_name_Hall '-F 4 2 3'
loop_
_atom_site_label
_atom_site_type_symbol
_atom_site_fract_x
_atom_site_fract_y
_atom_site_fract_z
Na1 Na 0.250 0.250 0.250
Zn1 Zn 0.000 0.000 0.000
Tc1 Tc 0.000 0.000 0.500
H1 H 0.000 0.000 0.252


6.
# In2CuTe (PBE, relaxed)
# Total DFT energy (no corrections) (eV per atom): -2.839
data_In2CuTe
_chemical_formula_sum 'In8 Cu4 Te4'
_cell_length_a 7.343
_cell_length_b 7.343
_cell_length_c 7.343
_cell_angle_alpha 90.00
_cell_angle_beta 90.00
_cell_angle_gamma 90.00
_symmetry_space_group_name_H-M 'F -4 3 m'
_symmetry_Int_Tables_number 216
_symmetry_space_group_name_Hall 'F -4 2 3'
loop_
_atom_site_label
_atom_site_type_symbol
_atom_site_fract_x
_atom_site_fract_y
_atom_site_fract_z
In1 In 0.000 0.000 0.000
In2 In 0.250 0.250 0.250
Cu1 Cu 0.250 0.250 0.750
Te1 Te 0.000 0.000 0.500


7.
# AlOs3 (PBE, relaxed)
# Total DFT energy (no corrections) (eV per atom): -9.145
# Spin magnetization (μB/cell): 0.02
data_AlOs3
_chemical_formula_sum 'Al1 Os3'
_cell_length_a 3.863
_cell_length_b 3.863
_cell_length_c 3.863
_cell_angle_alpha 90.00
_cell_angle_beta 90.00
_cell_angle_gamma 90.00
_symmetry_space_group_name_H-M 'P m -3 m'
_symmetry_Int_Tables_number 221
_symmetry_space_group_name_Hall '-P 4 2 3'
loop_
_atom_site_label
_atom_site_type_symbol
_atom_site_fract_x
_atom_site_fract_y
_atom_site_fract_z
Al1 Al 0.000 0.000 0.000
Os1 Os 0.000 0.500 0.500


8.
# TmScAs (PBE, relaxed)
# Total DFT energy (no corrections) (eV per atom): -4.950
# Spin magnetization (μB/cell): 6.83
data_TmScAs
_chemical_formula_sum 'Tm4 Sc4 As4'
_cell_length_a 6.799
_cell_length_b 6.799
_cell_length_c 6.799
_cell_angle_alpha 90.00
_cell_angle_beta 90.00
_cell_angle_gamma 90.00
_symmetry_space_group_name_H-M 'F -4 3 m'
_symmetry_Int_Tables_number 216
_symmetry_space_group_name_Hall 'F -4 2 3'
loop_
_atom_site_label
_atom_site_type_symbol
_atom_site_fract_x
_atom_site_fract_y
_atom_site_fract_z
Tm1 Tm 0.000 0.000 0.000
Sc1 Sc 0.250 0.250 0.250
As1 As 0.250 0.250 0.750


9.
# NaAcZn (PBE, relaxed)
# Total DFT energy (no corrections) (eV per atom): -1.731
# Spin magnetization (μB/cell): 0.10
data_NaAcZn
_chemical_formula_sum 'Na4 Ac4 Zn4'
_cell_length_a 7.545
_cell_length_b 7.545
_cell_length_c 7.545
_cell_angle_alpha 90.00
_cell_angle_beta 90.00
_cell_angle_gamma 90.00
_symmetry_space_group_name_H-M 'F -4 3 m'
_symmetry_Int_Tables_number 216
_symmetry_space_group_name_Hall 'F -4 2 3'
loop_
_atom_site_label
_atom_site_type_symbol
_atom_site_fract_x
_atom_site_fract_y
_atom_site_fract_z
Na1 Na 0.000 0.000 0.000
Ac1 Ac 0.250 0.250 0.250
Zn1 Zn 0.000 0.000 0.500


10.
# Dy4Y2TmNi2Te2 (PBE, relaxed)
# Total DFT energy (no corrections) (eV per atom): -5.510
# Spin magnetization (μB/cell): 0.01
data_Dy4Y2TmNi2Te2
_chemical_formula_sum 'Dy8 Y4 Tm2 Ni4 Te4'
_cell_length_a 3.843
_cell_length_b 15.653
_cell_length_c 9.564
_cell_angle_alpha 90.00
_cell_angle_beta 90.00
_cell_angle_gamma 90.00
_symmetry_space_group_name_H-M 'I m m 2'
_symmetry_Int_Tables_number 44
loop_
_symmetry_equiv_pos_as_xyz
'x,y,z'
'-x,-y,z'
'-x,y,z'
'x,-y,z'
'x+1/2,y+1/2,z+1/2'
'-x+1/2,-y+1/2,z+1/2'
'-x+1/2,y+1/2,z+1/2'
'x+1/2,-y+1/2,z+1/2'
loop_
_atom_site_label
_atom_site_type_symbol
_atom_site_fract_x
_atom_site_fract_y
_atom_site_fract_z
Dy1 Dy 0.000 0.146 0.000
Dy2 Dy 0.000 0.185 0.348
Y1 Y 0.000 0.369 0.147
Tm1 Tm 0.000 0.500 0.729
Ni1 Ni 0.000 0.263 0.657
Te1 Te 0.000 0.000 0.493
Te2 Te 0.000 0.500 0.394


11.
# Li4AlSnIr2 (PBE, relaxed)
# Total DFT energy (no corrections) (eV per atom): -4.579
# Spin magnetization (μB/cell): 0.01
data_Li4AlSnIr2
_chemical_formula_sum 'Li4 Al1 Sn1 Ir2'
_cell_length_a 4.303
_cell_length_b 4.303
_cell_length_c 6.145
_cell_angle_alpha 90.00
_cell_angle_beta 90.00
_cell_angle_gamma 90.00
_symmetry_space_group_name_H-M 'P -4 m 2'
_symmetry_Int_Tables_number 115
loop_
_symmetry_equiv_pos_as_xyz
'x,y,z'
'y,-x,-z'
'-x,-y,z'
'-y,x,-z'
'-x,y,z'
'-y,-x,-z'
'x,-y,z'
'y,x,-z'
loop_
_atom_site_label
_atom_site_type_symbol
_atom_site_fract_x
_atom_site_fract_y
_atom_site_fract_z
Li1 Li 0.000 0.000 0.000
Li2 Li 0.000 0.500 0.735
Li3 Li 0.500 0.500 0.500
Al1 Al 0.000 0.000 0.500
Sn1 Sn 0.500 0.500 0.000
Ir1 Ir 0.000 0.500 0.267


12.
# RbSiAu (PBE, relaxed)
# Total DFT energy (no corrections) (eV per atom): -2.045
data_RbSiAu
_chemical_formula_sum 'Rb4 Si4 Au4'
_cell_length_a 7.513
_cell_length_b 7.513
_cell_length_c 7.513
_cell_angle_alpha 90.00
_cell_angle_beta 90.00
_cell_angle_gamma 90.00
_symmetry_space_group_name_H-M 'F -4 3 m'
_symmetry_Int_Tables_number 216
_symmetry_space_group_name_Hall 'F -4 2 3'
loop_
_atom_site_label
_atom_site_type_symbol
_atom_site_fract_x
_atom_site_fract_y
_atom_site_fract_z
Rb1 Rb 0.000 0.000 0.000
Si1 Si 0.250 0.250 0.250
Au1 Au 0.250 0.250 0.750